1.
# VSb2ICl

Crystalline VSb2ICl at its relaxed geometry (PBE, the Alexandria database).

POSCAR file:
```
VSb2ICl
1.0
5.0858 0.0000 0.0000
0.0000 5.0858 0.0000
0.0000 0.0000 6.3866
V Sb I Cl
1 2 1 1
Direct
0.0000 0.0000 0.0000 V
0.0000 0.5000 0.5000 Sb
0.5000 0.0000 0.5000 Sb
0.5000 0.5000 0.0000 I
0.5000 0.5000 0.5000 Cl
```

Properties
For the final energy, the calculation gives -0.2116 Ry per atom. For the formation energy (no corrections), the calculation gives 1.272 eV/atom. Its crystal system is tetragonal. The size of the total moment comes out at 0.1 μB/f.u.

2.
# AlGeTe2Pb

Crystalline AlGeTe2Pb at its relaxed geometry (PBE, the Alexandria database).

POSCAR file:
```
AlGeTe2Pb
1.0
5.5507 0.0000 0.0000
0.0000 5.5507 0.0000
0.0000 0.0000 4.7787
Al Ge Te Pb
1 1 2 1
Direct
0.0000 0.0000 0.0000 Al
0.0000 0.0000 0.5000 Ge
0.0000 0.5000 0.0000 Te
0.5000 0.0000 0.0000 Te
0.5000 0.5000 0.5000 Pb
```

Properties
For the final energy, the calculation gives -0.2586 Ry per atom. For the formation energy (no corrections), the calculation gives 0.152 eV/atom. Its crystal system is tetragonal. The size of the total moment comes out at 0.0 μB/f.u.

3.
# LaYN2

Crystalline LaYN2 at its relaxed geometry (PBE, the Alexandria database).

POSCAR file:
```
LaYN2
1.0
1.7727 1.0235 6.1714
-1.7727 1.0235 6.1714
0.0000 -2.0469 6.1714
La Y N
1 1 2
Direct
0.0000 0.0000 0.0000 La
0.8299 0.8299 0.8299 Y
0.4093 0.4093 0.4093 N
0.5694 0.5694 0.5694 N
```

Properties
For the final energy, the calculation gives -0.6066 Ry per atom. For the formation energy (no corrections), the calculation gives -1.243 eV/atom. Its crystal system is trigonal. The size of the total moment comes out at 0.0 μB/f.u.

4.
# CeYB4

Crystalline CeYB4 at its relaxed geometry (PBE, the Alexandria database).

POSCAR file:
```
CeYB4
1.0
-1.6271 2.8343 4.0150
1.6271 -2.8343 4.0150
1.6271 2.8343 -4.0150
Ce Y B
1 1 4
Direct
0.0000 0.0000 0.0000 Ce
0.5000 0.5000 0.0000 Y
0.0828 0.7506 0.3322 B
0.4185 0.7506 0.6678 B
0.5815 0.2494 0.3322 B
0.9172 0.2494 0.6678 B
```

Properties
For the final energy, the calculation gives -0.5148 Ry per atom. Its crystal system is orthorhombic. The size of the total moment comes out at 0.0 μB/f.u.

5.
# BaSi2Mo

Crystalline BaSi2Mo at its relaxed geometry (PBE, the Alexandria database).

POSCAR file:
```
BaSi2Mo
1.0
-1.5226 2.7105 5.1539
1.5226 -2.7105 5.1539
1.5226 2.7105 -5.1539
Ba Si Mo
1 2 1
Direct
0.0000 0.0000 0.0000 Ba
0.4878 0.4878 0.0000 Si
0.7031 0.2031 0.5000 Si
0.2930 0.7930 0.5000 Mo
```

Properties
For the final energy, the calculation gives -0.3847 Ry per atom. For the formation energy (no corrections), the calculation gives 0.666 eV/atom. Its crystal system is orthorhombic. The size of the total moment comes out at 0.0 μB/f.u.

6.
# ZnSn2Bi

Crystalline ZnSn2Bi at its relaxed geometry (PBE, the Alexandria database).

POSCAR file:
```
ZnSn2Bi
1.0
3.6857 0.0000 0.0000
0.0000 3.6857 0.0000
0.0000 0.0000 7.6386
Zn Sn Bi
1 2 1
Direct
0.0000 0.0000 0.0000 Zn
0.5000 0.5000 0.2131 Sn
0.5000 0.5000 0.7869 Sn
0.0000 0.0000 0.5000 Bi
```

Properties
For the final energy, the calculation gives -0.2319 Ry per atom. Its crystal system is tetragonal. The size of the total moment comes out at 0.0 μB/f.u.